Pm3Ga2Hg4 | the Alexandria database | PBE | optimized geometry; energy of formation = -0.488 eV/atom; Fermi-level density of states = 5.2 states/eV/cell; space group = No. 12
1.0
5.580 -2.411 0.000
5.580 2.411 0.000
-3.955 0.000 8.204
Pm Ga Hg
3 2 4
direct
0.000 0.000 0.000
0.336 0.336 0.329
0.664 0.664 0.671
0.393 0.393 0.724
0.607 0.607 0.276
0.083 0.083 0.410
0.302 0.302 0.962
0.698 0.698 0.038
0.917 0.917 0.590